No. 1
# NiMoSCl2 | Alexandria | PBE-GGA | optimized geometry
# Energy above the lowest structure with this stoichiometry ... 1.01 kcal/mol of atoms
data_NiMoSCl2
_chemical_formula_sum 'Ni1 Mo1 S1 Cl2'
_cell_length_a 4.451
_cell_length_b 4.451
_cell_length_c 4.815
_cell_angle_alpha 90.00
_cell_angle_beta 90.00
_cell_angle_gamma 90.00
_symmetry_space_group_name_H-M 'P 4/m m m'
_symmetry_Int_Tables_number 123
_symmetry_space_group_name_Hall '-P 4 2'
loop_
_atom_site_label
_atom_site_fract_x
_atom_site_fract_y
_atom_site_fract_z
Ni1 0.000 0.000 0.000
Mo1 0.500 0.500 0.500
S1 0.000 0.000 0.500
Cl1 0.000 0.500 0.000



No. 2
A plane-wave DFT calculation with PBE-GGA was carried out for a geometry-optimized Ta2TcSb structure.

Cell and atoms, written as CIF:
```
data_Ta2TcSb
_chemical_formula_sum 'Ta4 Tc2 Sb2'
_cell_length_a 10.298
_cell_length_b 3.381
_cell_length_c 4.540
_cell_angle_alpha 90.00
_cell_angle_beta 115.93
_cell_angle_gamma 90.00
_symmetry_space_group_name_H-M 'C 1 m 1'
_symmetry_Int_Tables_number 8
_symmetry_space_group_name_Hall 'C -2y'
loop_
_atom_site_label
_atom_site_fract_x
_atom_site_fract_y
_atom_site_fract_z
Ta1 0.000 0.000 0.000
Ta2 0.246 0.000 0.748
Tc1 0.238 0.500 0.240
Sb1 0.483 0.000 0.483
```



| no. | raw formation energy (eV/atom) | N(E_F) (states/eV per cell) |
| --- | --- | --- |
| 1 | 0.44 | 4.20 |
| 2 | 0.02 | 5.84 |